[1]
DFT (GGA-PBE) results for LaTmZn2Ge2 after structural relaxation. Values from VASP.

The structure in Quantum ESPRESSO input format:
```
&SYSTEM
  ibrav = 0, nat = 6, ntyp = 4
/
ATOMIC_SPECIES
La 138.91 La.upf
Tm 168.93 Tm.upf
Zn 65.41 Zn.upf
Ge 72.64 Ge.upf
CELL_PARAMETERS angstrom
4.226 0.000 0.000
-2.113 3.660 0.000
0.000 0.000 8.339
ATOMIC_POSITIONS crystal
La 0.000 0.000 0.000
Tm 0.000 0.000 0.500
Zn 0.333 0.667 0.737
Zn 0.667 0.333 0.263
Ge 0.333 0.667 0.268
Ge 0.667 0.333 0.732
```

Calculated values
ΔE_f = -0.637 eV per atom

=====

[2]
DFT (GGA-PBE) results for Tl2InTcPt after structural relaxation. Values from VASP.

The structure in Quantum ESPRESSO input format:
```
&SYSTEM
  ibrav = 0, nat = 5, ntyp = 4
/
ATOMIC_SPECIES
Tl 204.38 Tl.upf
In 114.82 In.upf
Tc 98.00 Tc.upf
Pt 195.08 Pt.upf
CELL_PARAMETERS angstrom
5.221 0.000 0.000
0.000 5.221 0.000
0.000 0.000 5.153
ATOMIC_POSITIONS crystal
Tl 0.000 0.500 0.000
Tl 0.500 0.000 0.000
In 0.000 0.000 0.500
Tc 0.000 0.000 0.000
Pt 0.500 0.500 0.500
```

Calculated values
ΔE_f = 0.921 eV per atom

=====

[3]
DFT (GGA-PBE) results for UNiAsS after structural relaxation. Values from VASP.

The structure in Quantum ESPRESSO input format:
```
&SYSTEM
  ibrav = 0, nat = 8, ntyp = 4
/
ATOMIC_SPECIES
U 238.03 U.upf
Ni 58.69 Ni.upf
As 74.92 As.upf
S 32.06 S.upf
CELL_PARAMETERS angstrom
4.130 0.000 0.000
0.000 4.130 0.000
0.000 0.000 8.132
ATOMIC_POSITIONS crystal
U 0.250 0.250 0.218
U 0.750 0.750 0.782
Ni 0.250 0.750 0.500
Ni 0.750 0.250 0.500
As 0.250 0.250 0.654
As 0.750 0.750 0.346
S 0.250 0.750 0.000
S 0.750 0.250 0.000
```

Calculated values
raw formation energy = -807 meV/atom

=====

[4]
DFT (GGA-PBE) results for Sm2Al4AgPd3 after structural relaxation. Values from VASP.

The structure in Quantum ESPRESSO input format:
```
&SYSTEM
  ibrav = 0, nat = 10, ntyp = 4
/
ATOMIC_SPECIES
Sm 150.36 Sm.upf
Al 26.98 Al.upf
Ag 107.87 Ag.upf
Pd 106.42 Pd.upf
CELL_PARAMETERS angstrom
4.255 0.000 0.000
0.000 4.255 0.000
0.000 0.000 10.765
ATOMIC_POSITIONS crystal
Sm 0.000 0.500 0.242
Sm 0.500 0.000 0.758
Al 0.000 0.000 0.000
Al 0.000 0.500 0.636
Al 0.500 0.000 0.364
Al 0.500 0.500 0.000
Ag 0.000 0.000 0.500
Pd 0.000 0.500 0.868
Pd 0.500 0.000 0.132
Pd 0.500 0.500 0.500
```

Calculated values
ΔE_f = -0.733 eV per atom

=====

| no. | spin magnetization (μB/cell) |
| --- | --- |
| 1 | 0.0 |
| 2 | 1.4 |
| 3 | 2.4 |
| 4 | 0.0 |